# 1
12
Lattice="5.253 0.000 0.000 -2.626 4.549 0.000 0.000 0.000 8.090" Properties=species:S:1:pos:R:3 comment="Er2AlNi3 | Alexandria | PBE | optimized geometry" delta_e_f_ev_per_atom=-0.54 volume_a3_per_atom=16.1 spacegroup="P6_3/mmc (194)" pbc="T T T"
Al 0.000 0.000 0.000
Er 2.627 1.516 0.471
Ni 2.626 3.019 6.067
Ni 1.325 0.765 6.067
Ni 3.928 0.765 6.067
Er 0.000 3.033 7.619
Er 2.627 1.516 3.574
Er 0.000 3.033 4.516
Al 0.000 0.000 4.045
Ni -1.301 3.784 2.022
Ni 0.000 1.530 2.022
Ni 1.301 3.784 2.022


# 2
11
Lattice="6.585 -0.002 -0.894 0.002 6.774 0.004 -1.302 -0.003 6.516" Properties=species:S:1:pos:R:3 comment="Er7Al2Ni2 | Alexandria | PBE | optimized geometry" delta_e_f_ev_per_atom=-0.19 volume_a3_per_atom=25.7 spacegroup="Cmmm (65)" pbc="T T T"
Er 2.642 1.666 2.812
Ni 1.019 -0.002 4.335
Er 1.991 1.706 6.070
Al 4.398 3.383 4.682
Ni 4.266 6.771 1.291
Er 5.935 5.060 2.367
Er -0.650 1.709 3.259
Er 3.294 5.063 -0.444
Er 0.000 0.000 0.000
Er 2.643 5.103 2.814
Al 0.887 3.386 0.944


# 3
19
Lattice="0.222 7.358 -3.912 -7.437 -3.520 -1.335 0.923 1.289 8.184" Properties=species:S:1:pos:R:3 comment="Er12AlNi6 | Alexandria | PBE | optimized geometry" delta_e_f_ev_per_atom=-0.23 volume_a3_per_atom=24.1 spacegroup="R-3 (148)" pbc="T T T"
Er 0.612 3.387 5.689
Er -3.851 4.810 0.369
Ni -0.948 2.180 3.846
Ni -4.500 1.133 4.067
Er -5.634 1.851 1.714
Er -0.659 3.275 1.223
Er -2.207 5.197 -3.511
Ni -4.464 -0.304 0.647
Er -2.442 0.316 2.568
Ni -5.345 2.947 -0.909
Ni -1.793 3.994 -1.130
Er -3.179 3.654 3.827
Er -4.086 -0.071 6.448
Ni -1.829 5.430 2.290
Er -3.114 1.472 -0.890
Er -6.062 -2.347 1.396
Er -0.230 7.473 1.541
Al 0.000 0.000 0.000
Er -6.905 1.739 -2.751


# 4
12
Lattice="4.850 0.000 0.000 2.425 4.200 0.000 2.425 1.400 8.059" Properties=species:S:1:pos:R:3 comment="Er2AlNi9 | Alexandria | PBE | optimized geometry" delta_e_f_ev_per_atom=-0.28 volume_a3_per_atom=13.7 spacegroup="R-3m (166)" pbc="T T T"
Ni 4.850 1.394 6.084
Ni 3.632 2.097 1.975
Ni 4.850 2.800 4.029
Ni 6.067 3.503 6.084
Ni 3.632 3.503 6.084
Ni 6.067 2.097 1.975
Er 7.274 4.200 3.283
Ni 2.425 1.400 0.003
Ni 7.274 4.200 8.055
Al 0.000 0.000 0.000
Er 2.425 1.400 4.776
Ni 4.850 4.206 1.975


# 5
14
Lattice="-2.964 -1.781 -1.994 4.780 -1.873 -5.430 1.487 -6.420 3.523" Properties=species:S:1:pos:R:3 comment="ErAl4Ni2 | Alexandria | PBE | optimized geometry" delta_e_f_ev_per_atom=-0.54 volume_a3_per_atom=15.9 spacegroup="P4_2/mnm (136)" pbc="T T T"
Ni 0.249 -3.182 -1.524
Al 1.741 -7.004 -0.327
Al 1.707 -1.161 -1.500
Al 5.372 -6.010 -2.615
Al 4.559 -7.132 -0.406
Ni 4.043 -2.890 -3.427
Ni 3.053 -6.892 -2.377
Er -1.482 -0.890 -0.997
Al 3.108 -5.116 -4.045
Ni 2.223 -5.403 1.520
Al 0.195 -4.958 0.143
Er 3.133 -4.147 -0.953
Al 1.562 -3.070 -3.574
Al 0.895 -2.283 0.709


# 6
13
Lattice="4.616 0.000 1.896 2.334 6.048 0.883 0.010 -0.050 6.542" Properties=species:S:1:pos:R:3 comment="ErAl7Ni5 | Alexandria | PBE | optimized geometry" delta_e_f_ev_per_atom=-0.59 volume_a3_per_atom=14.0 spacegroup="Imm2 (44)" pbc="T T T"
Al 5.394 2.143 6.570
Al 6.115 4.035 4.814
Ni 3.449 2.955 1.427
Ni 5.171 4.628 7.111
Al 3.117 3.958 5.545
Al 3.829 2.078 3.812
Ni 1.159 2.955 0.487
Al 2.825 1.144 6.257
Ni 2.330 0.020 4.152
Er 2.353 5.975 7.405
Ni 0.041 0.020 3.211
Al 1.794 1.356 2.198
Al 4.187 4.719 2.939


# 7
10
Lattice="-0.281 -1.342 -5.978 -5.291 -1.864 -2.479 -3.059 3.686 -3.830" Properties=species:S:1:pos:R:3 comment="Er2AlNi7 | Alexandria | PBE | optimized geometry" delta_e_f_ev_per_atom=0.14 volume_a3_per_atom=16.3 spacegroup="Fm-3m (225)" pbc="T T T"
Ni -2.287 -0.555 -6.060
Ni -6.343 1.035 -6.227
Ni -4.315 0.240 -6.144
Al 0.000 0.000 0.000
Ni -4.806 -0.818 -4.302
Ni -3.684 1.972 -4.981
Er -2.158 0.120 -3.072
Ni -3.825 1.297 -7.985
Er -6.473 0.360 -9.215
Ni -4.947 -1.492 -7.306


# 8
18
Lattice="-1.850 -5.455 5.922 -3.845 -1.653 -7.123 8.086 -0.260 -1.672" Properties=species:S:1:pos:R:3 comment="Er6AlNi2 | Alexandria | PBE | optimized geometry" delta_e_f_ev_per_atom=-0.35 volume_a3_per_atom=24.0 spacegroup="Immm (71)" pbc="T T T"
Er 2.757 -4.568 0.356
Er 1.274 -3.899 3.430
Er -2.074 -4.782 3.002
Ni 2.145 -1.966 1.462
Er 4.465 -2.586 -5.874
Er 0.158 -5.789 -1.627
Al 2.121 -0.956 -4.397
Er -0.490 -3.067 0.431
Ni 4.725 -3.582 -1.206
Er 5.328 -1.247 -2.787
Er 2.233 -1.579 -1.245
Er 1.117 -3.468 -6.302
Ni -2.333 -3.786 -1.666
Al 0.000 0.000 0.000
Ni 4.091 -3.749 2.788
Er -0.365 -2.800 -3.228
Er -2.936 -6.121 -0.085
Er 2.881 -4.301 -3.303


# 9
24
Lattice="-1.788 1.757 -2.458 10.159 0.155 -7.278 -7.191 -10.036 -1.944" Properties=species:S:1:pos:R:3 comment="Er11Al9Ni4 | Alexandria | PBE | optimized geometry" delta_e_f_ev_per_atom=-0.50 volume_a3_per_atom=21.1 spacegroup="Cmmm (65)" pbc="T T T"
Er 0.922 -3.069 -2.864
Er 2.046 -6.812 -6.357
Ni 2.824 -4.551 -7.814
Al 4.930 -2.688 -8.014
Er -4.365 -8.376 -2.812
Ni 1.904 -1.489 -4.956
Al 0.590 -4.062 -5.840
Al -1.640 -1.302 -2.244
Er 3.683 -0.647 -3.141
Ni -0.723 -6.635 -6.723
Er 7.333 -1.505 -6.409
Er 3.663 -3.660 -5.281
Al 0.742 0.098 -2.977
Al 0.438 -8.222 -8.702
Al -3.149 -7.433 -5.530
Er -0.714 -9.234 -6.080
Er -2.247 -4.130 -1.318
Al -3.749 -5.436 -3.666
Al 4.330 -0.691 -6.150
Er -0.695 -6.220 -3.941
Er 0.000 0.000 0.000
Ni -1.643 -3.573 -3.866
Al 2.821 -6.822 -9.435
Er 5.216 -5.750 -7.904